UTe4Pt: relaxed, PBE.

```
UTe4Pt
1.0
-1.608 4.942 4.696
-6.886 -1.607 -0.666
0.845 -5.538 4.618
Pt Te U
2 8 2
direct
0.500 0.000 0.500
0.000 0.500 0.500
0.759 0.218 0.311
0.631 0.171 0.812
0.259 0.282 0.311
0.869 0.671 0.188
0.241 0.782 0.689
0.369 0.829 0.188
0.131 0.329 0.812
0.741 0.718 0.689
0.500 0.500 0.000
0.000 0.000 0.000
```

- DOS(E_F) (states/eV/cell) = 16.475
- uncorrected energy (eV for the cell shown) = -63.4
- size of the total moment (μB/f.u.) = 1.70
- formation energy from raw total energies (meV/atom) = -297
- SG = No. 14
- volume (Å³ per atom) = 29.8